The following is a DFT calculation (PBE) of a relaxed Ca2TeMoSe crystal.

POSCAR file:
```
Ca2TeMoSe
1.0
5.606 0.000 0.000
0.000 5.606 0.000
0.000 0.000 4.730
Ca Te Mo Se
2 1 1 1
Cartesian
0.000 2.803 0.000
2.803 0.000 0.000
0.000 0.000 2.365
2.803 2.803 2.365
2.803 2.803 0.000
```

Volume ... 149 Å³ per cell
Magnetic moment ... 2.603 μB/f.u.
Space-group type ... P4/mmm (123)
ΔE_f (raw) ... -295 meV per atom

=====

The following is a DFT calculation (PBE) of a relaxed CaZrMo2Se crystal.

POSCAR file:
```
CaZrMo2Se
1.0
4.956 0.000 0.000
0.000 4.956 0.000
0.000 0.000 5.350
Ca Zr Mo Se
1 1 2 1
Cartesian
0.000 0.000 0.000
2.478 2.478 2.675
0.000 2.478 2.675
2.478 0.000 2.675
2.478 2.478 0.000
```

Volume ... 131 Å³ per cell
Magnetic moment ... 4.116 μB/f.u.
Space-group type ... P4/mmm (123)
ΔE_f (raw) ... 1001 meV per atom

=====

The following is a DFT calculation (PBE) of a relaxed Ca2SiMo crystal.

POSCAR file:
```
Ca2SiMo
1.0
5.391 0.000 0.000
0.000 3.061 0.000
-2.018 0.000 5.155
Ca Si Mo
2 1 1
Cartesian
0.000 0.000 0.000
-1.009 1.531 2.577
1.686 0.000 2.577
2.696 1.531 0.000
```

Volume ... 85 Å³ per cell
Magnetic moment ... 0.003 μB/f.u.
Space-group type ... P2/m (10)
ΔE_f (raw) ... 637 meV per atom